A plane-wave DFT calculation with SCAN was carried out for a PBEsol-optimized structure of Sb2TeMoRu.

E_tot = -35.027 eV/atom
Raw formation energy = 6.35 eV per formula unit

abc: 5.087 5.099 5.099
angles: 90.00 90.00 90.00
Element x y z (fractional)
Sb 0.000 0.000 0.500
Sb 0.000 0.500 0.000
Mo 0.000 0.000 0.000
Te 0.500 0.000 0.000
Ru 0.500 0.500 0.500



A plane-wave DFT calculation with SCAN was carried out for a PBEsol-optimized structure of Sc2MoRu.

E_tot = -24.616 eV/atom
E above lowest polymorph = 146 meV per atom
ΔE_f = -70 meV per atom

abc: 2.964 4.381 5.425
angles: 90.00 104.51 90.00
Element x y z (fractional)
Mo 0.461 0.000 0.522
Ru 0.267 0.500 0.733
Sc 0.019 0.000 0.978
Sc 0.753 0.500 0.267



A plane-wave DFT calculation with SCAN was carried out for a PBEsol-optimized structure of ScMoRu2.

E_tot = -29.652 eV/atom
ΔE_f = 42 meV per atom

abc: 2.819 4.742 5.122
angles: 117.13 90.00 90.00
Element x y z (fractional)
Mo 0.000 0.000 0.500
Ru 0.000 0.000 0.000
Ru 0.500 0.500 0.500
Sc 0.500 0.500 0.000



A plane-wave DFT calculation with SCAN was carried out for a PBEsol-optimized structure of ScMoRu2.

E_tot = -29.630 eV/atom
ΔE_f = 64 meV per atom

abc: 2.720 2.720 8.351
angles: 90.00 90.00 90.00
Element x y z (fractional)
Mo 0.500 0.500 0.769
Ru 0.000 0.000 0.023
Ru 0.500 0.500 0.223
Sc 0.000 0.000 0.485



A plane-wave DFT calculation with SCAN was carried out for a PBEsol-optimized structure of ScMoRu2.

E_tot = -29.835 eV/atom
ΔE_f = -142 meV per atom

abc: 3.091 4.327 5.237
angles: 114.40 107.16 90.00
Element x y z (fractional)
Mo 0.256 0.756 0.513
Ru 0.991 0.991 0.982
Ru 0.752 0.252 0.505
Sc 0.500 0.500 0.000



A plane-wave DFT calculation with SCAN was carried out for a PBEsol-optimized structure of Sc2MoRu.

E_tot = -24.591 eV/atom
E above lowest polymorph = 170 meV per atom
ΔE_f = -45 meV per atom

abc: 3.126 4.614 4.614
angles: 90.00 90.00 90.00
Element x y z (fractional)
Mo 0.500 0.500 0.500
Ru 0.500 0.000 0.000
Sc 0.000 0.000 0.500
Sc 0.000 0.500 0.000



A plane-wave DFT calculation with SCAN was carried out for a PBEsol-optimized structure of Sc2MoRu.

E_tot = -24.574 eV/atom
E above lowest polymorph = 187 meV per atom
ΔE_f = -28 meV per atom

abc: 4.540 4.540 4.540
angles: 60.00 60.00 60.00
Element x y z (fractional)
Mo 0.500 0.500 0.500
Ru 0.250 0.250 0.250
Sc 0.000 0.000 0.000
Sc 0.750 0.750 0.750



A plane-wave DFT calculation with SCAN was carried out for a PBEsol-optimized structure of Sc2MoRu.

E_tot = -24.567 eV/atom
E above lowest polymorph = 194 meV per atom
ΔE_f = -21 meV per atom

abc: 2.921 5.160 5.160
angles: 112.37 102.40 102.40
Element x y z (fractional)
Mo 0.500 0.000 0.000
Ru 0.500 0.500 0.500
Sc 0.000 0.500 0.000
Sc 0.000 0.000 0.500